## ZrP2Ir (PBEsol)

Data for crystalline ZrP2Ir at its relaxed geometry.

The space group is Imm2 (No. 44) and the conventional cell measures 3.438, 3.466 and 10.342 Å, with angles of 90.00, 90.00 and 90.00 degrees. The asymmetric unit holds Zr at (0.000, 0.000, 0.000), P at (0.000, 0.000, 0.412), P at (0.000, 0.500, 0.188) and Ir at (0.000, 0.500, 0.749).

The total DFT energy (no corrections) is -8.468 eV/atom. The value obtained for the magnetization is 0.0 μB/f.u. For the formation energy from the elements, the calculation gives -0.84 eV per atom.

---

## ZrP3Ir (PBEsol)

Data for crystalline ZrP3Ir at its relaxed geometry.

The space group is Pm-3m (No. 221) and the conventional cell measures 4.561, 4.561 and 4.561 Å, with angles of 90.00, 90.00 and 90.00 degrees. The asymmetric unit holds Zr at (0.000, 0.000, 0.000), P at (0.000, 0.500, 0.500) and Ir at (0.500, 0.500, 0.500).

The total DFT energy (no corrections) is -6.825 eV/atom. The value obtained for the magnetization is 0.0 μB/f.u. For the formation energy from the elements, the calculation gives 0.43 eV per atom.

---

## PaIr3 (PBEsol)

Data for crystalline PaIr3 at its relaxed geometry.

The space group is Pm-3m (No. 221) and the conventional cell measures 4.039, 4.039 and 4.039 Å, with angles of 90.00, 90.00 and 90.00 degrees. The asymmetric unit holds Pa at (0.000, 0.000, 0.000) and Ir at (0.000, 0.500, 0.500).

The total DFT energy (no corrections) is -10.757 eV/atom. The value obtained for the magnetization is 0.0 μB/f.u. For the formation energy from the elements, the calculation gives -0.83 eV per atom.